Crystalline BeIn at its relaxed geometry, computed with PBE.

Output
Formation enthalpy at 0 K in eV/atom: 0.486
Crystal system: trigonal
V in Å³ per atom: 18.8
Distance to the lowest polymorph of the same formula in meV per atom: 200

The structure in extended XYZ format:
```
12
Lattice="4.0041 0.0000 0.0000 -2.0020 3.4676 0.0000 0.0000 0.0000 16.2378" Properties=species:S:1:pos:R:3 pbc="T T T"
Be 0.0000 0.0000 2.4315
Be 0.0000 0.0000 13.8063
Be 0.0000 2.3118 3.5504
Be 0.0000 2.3118 5.8804
Be 2.0020 1.1559 10.3575
Be 2.0020 1.1559 12.6875
In 0.0000 0.0000 4.8311
In 0.0000 0.0000 11.4067
In 0.0000 2.3118 1.0417
In 0.0000 2.3118 9.1492
In 2.0020 1.1559 7.0887
In 2.0020 1.1559 15.1961
```